# 1
The following is a DFT calculation (PBE) of a geometry-optimized Pr8HRu3Cl4 structure.

Calculated values
Crystal system: monoclinic
Raw total energy (eV/atom): -5.692
Space group: C2/m, No. 12
Total moment (μB per formula unit): 0.000

Unit cell a=8.0136 b=8.0136 c=8.9959 alpha=116.40 beta=116.40 gamma=60.01
Atoms (fractional coordinates):
Pr 0.2342 0.2342 0.7030
Pr 0.2341 0.7346 0.7030
Pr 0.2622 0.2622 0.2865
Pr 0.2654 0.7659 0.2970
Pr 0.7346 0.2341 0.7030
Pr 0.7378 0.7378 0.7135
Pr 0.7659 0.2654 0.2970
Pr 0.7658 0.7658 0.2970
H 0.0000 0.0000 0.5000
Ru 0.0000 0.5000 0.5000
Ru 0.5000 0.0000 0.5000
Ru 0.5000 0.5000 0.5000
Cl 0.0000 0.0000 0.0000
Cl 0.0000 0.5000 0.0000
Cl 0.5000 0.0000 0.0000
Cl 0.5000 0.5000 0.0000

***

# 2
The following is a DFT calculation (PBE) of a geometry-optimized NaZnOs2Br structure.

Calculated values
Crystal system: tetragonal
Raw total energy (eV/atom): -3.633
Space group: P4/mmm, No. 123
Energy relative to the elements, uncorrected (eV/atom): 1.71
Total moment (μB per formula unit): 0.000

Unit cell a=4.6171 b=4.6171 c=4.8998 alpha=90.00 beta=90.00 gamma=90.00
Atoms (fractional coordinates):
Na 0.0000 0.0000 0.0000
Zn 0.5000 0.5000 0.0000
Os 0.0000 0.5000 0.5000
Os 0.5000 0.0000 0.5000
Br 0.0000 0.0000 0.5000